(1)
A plane-wave DFT calculation with GGA-PBE was carried out for a relaxed structure of MnHI2.

```
MnHI2
1.0
-2.8680 2.8680 5.5045
2.8680 -2.8680 5.5045
2.8680 2.8680 -5.5045
Mn H I
2 2 4
direct
0.0000 0.0000 0.0000
0.7500 0.2500 0.5000
0.2500 0.7500 0.5000
0.5000 0.5000 0.0000
0.1341 0.6250 0.0091
0.3750 0.3841 0.5091
0.6159 0.1250 0.9909
0.8750 0.8659 0.4909
```

Properties
D(E_F) in states/eV per cell: 7.609
Total magnetic moment in μB per atom: 0.000
Calculated total energy in eV per atom: -3.2212

***

(2)
A plane-wave DFT calculation with GGA-PBE was carried out for a relaxed structure of MnHI3.

```
MnHI3
1.0
5.3728 0.0000 0.0000
0.0000 5.3728 0.0000
0.0000 0.0000 5.3728
Mn H I
1 1 3
direct
0.0000 0.0000 0.0000
0.5000 0.5000 0.5000
0.0000 0.0000 0.5000
0.0000 0.5000 0.0000
0.5000 0.0000 0.0000
```

Properties
D(E_F) in states/eV per cell: 20.288
Total magnetic moment in μB per atom: 0.228
Calculated total energy in eV per atom: -2.6609

***

(3)
A plane-wave DFT calculation with GGA-PBE was carried out for a relaxed structure of MnHI3.

```
MnHI3
1.0
5.1445 0.0000 0.0000
0.0000 5.1445 0.0000
0.0000 0.0000 5.1445
Mn H I
1 1 3
direct
0.0000 0.0000 0.0000
0.5000 0.5000 0.5000
0.0000 0.5000 0.5000
0.5000 0.0000 0.5000
0.5000 0.5000 0.0000
```

Properties
D(E_F) in states/eV per cell: 4.465
Total magnetic moment in μB per atom: 1.001
Calculated total energy in eV per atom: -2.6434